1.
# SrScCu2S4

A geometry-optimized SrScCu2S4 structure (GGA-PBE, Alexandria via LeMat-Bulk).

a = 6.067 Å, b = 6.067 Å, c = 6.067 Å
α = 115.13°, β = 115.13°, γ = 98.67°
Sites, in units of the cell vectors:
Sr1 0.000 0.000 0.000
Sc1 0.500 0.500 0.000
Cu1 0.250 0.750 0.500
Cu2 0.750 0.250 0.500
S1 0.097 0.097 0.576
S2 0.479 0.903 0.000
S3 0.521 0.521 0.424
S4 0.903 0.479 0.000

Summary:
As for the formation energy (no corrections): -1.101 eV/atom. As for the space group: I-42m, No. 121. Its density of states at the Fermi level is 2.7 states/eV/f.u.

2.
# TbNdSm4Se8

A geometry-optimized TbNdSm4Se8 structure (GGA-PBE, Alexandria via LeMat-Bulk).

a = 8.602 Å, b = 8.602 Å, c = 8.602 Å
α = 59.89°, β = 59.89°, γ = 59.89°
Sites, in units of the cell vectors:
Tb1 0.000 0.000 0.000
Nd1 0.626 0.626 0.626
Sm1 0.124 0.626 0.626
Sm2 0.251 0.251 0.251
Sm3 0.626 0.124 0.626
Sm4 0.626 0.626 0.124
Se1 0.381 0.381 0.853
Se2 0.381 0.853 0.381
Se3 0.384 0.384 0.384
Se4 0.391 0.872 0.872
Se5 0.853 0.381 0.381
Se6 0.869 0.869 0.869
Se7 0.872 0.391 0.872
Se8 0.872 0.872 0.391

Summary:
As for the formation energy (no corrections): -1.727 eV/atom. As for the space group: R3m, No. 160. Its density of states at the Fermi level is 8.7 states/eV/f.u.

3.
# GaFeAu2

A geometry-optimized GaFeAu2 structure (GGA-PBE, Alexandria via LeMat-Bulk).

a = 4.056 Å, b = 4.056 Å, c = 3.905 Å
α = 90.00°, β = 90.00°, γ = 90.00°
Sites, in units of the cell vectors:
Ga1 0.000 0.000 0.000
Fe1 0.500 0.500 0.000
Au1 0.000 0.500 0.500
Au2 0.500 0.000 0.500

Summary:
As for the formation energy: 0.0445 eV/atom. As for the space group: P4/mmm, No. 123. Its density of states at the Fermi level is 3.0 states/eV/f.u.

4.
# PrTmSe2Cl

A geometry-optimized PrTmSe2Cl structure (GGA-PBE, Alexandria via LeMat-Bulk).

a = 4.167 Å, b = 4.167 Å, c = 14.089 Å
α = 90.00°, β = 90.00°, γ = 90.00°
Sites, in units of the cell vectors:
Pr1 0.250 0.250 0.148
Pr2 0.750 0.750 0.852
Tm1 0.250 0.250 0.589
Tm2 0.750 0.750 0.411
Se1 0.250 0.250 0.386
Se2 0.250 0.250 0.791
Se3 0.750 0.750 0.209
Se4 0.750 0.750 0.614
Cl1 0.250 0.750 0.000
Cl2 0.750 0.250 0.000

Summary:
As for the formation energy (no corrections): -1.843 eV/atom. As for the space group: P4/nmm, No. 129. Its density of states at the Fermi level is 1.6 states/eV/f.u.